GaMoPd2: optimized geometry, PBE-GGA.

V in Å³ per cell: 60.9
E in eV per atom: -6.1729
ρ in g/cm³: 10.32
Crystal system: cubic

The structure in POSCAR format:
```
GaMoPd2
1.0
0.000 3.123 3.123
3.123 0.000 3.123
3.123 3.123 0.000
Ga Mo Pd
1 1 2
Direct
0.000 0.000 0.000
0.250 0.250 0.250
0.500 0.500 0.500
0.750 0.750 0.750
```

=====

Ga2MoPd: optimized geometry, PBE-GGA.

V in Å³ per cell: 62.7
E in eV per atom: -5.4045
ρ in g/cm³: 9.06
Crystal system: cubic

The structure in POSCAR format:
```
Ga2MoPd
1.0
0.000 3.152 3.152
3.152 0.000 3.152
3.152 3.152 0.000
Ga Mo Pd
2 1 1
Direct
0.000 0.000 0.000
0.250 0.250 0.250
0.500 0.500 0.500
0.750 0.750 0.750
```